# 1
First-principles (PBE) data for an optimized crystal structure of NaCdInAg, as listed in Alexandria via LeMat-Bulk.

- Magnetic moment: 0.000 μB per atom
- Energy of formation from the pure elements: 0.03 eV/atom
- Distance to the lowest polymorph of the same formula: 0.42 eV/f.u.
- Total energy: -1.925 eV/atom

Lattice parameters (Å, degrees): 6.0283 3.0666 10.3239 90.00 99.28 90.00
Space group Cm (No. 8)
Unique sites:
1 Na 0.0000 0.0000 0.0000
2 Cd 0.2716 0.5000 0.2649
3 In 0.4944 0.0000 0.5275
4 Ag 0.2347 0.0000 0.7581

***

# 2
First-principles (PBE) data for an optimized crystal structure of Ac12La2Pr5, as listed in Alexandria via LeMat-Bulk.

- Magnetic moment: 0.000 μB per atom
- Energy of formation from the pure elements: 0.13 eV/atom
- Total energy: -4.238 eV/atom

Lattice parameters (Å, degrees): 16.9670 10.3142 9.2916 90.00 91.17 90.00
Space group C2/m (No. 12)
Unique sites:
1 Ac 0.0638 0.0000 0.3359
2 Ac 0.0824 0.5000 0.8762
3 Ac 0.1285 0.1954 0.6694
4 Ac 0.1507 0.3177 0.2334
5 La 0.0000 0.1661 0.0000
6 Pr 0.0000 0.5000 0.5000
7 Pr 0.2001 0.0000 0.0270
8 Pr 0.2288 0.5000 0.5666

***

# 3
First-principles (PBE) data for an optimized crystal structure of TmAs4, as listed in Alexandria via LeMat-Bulk.

- Magnetic moment: 0.000 μB per atom
- Energy of formation from the pure elements: 0.70 eV/atom
- Total energy: -3.913 eV/atom

Lattice parameters (Å, degrees): 5.3056 5.3056 5.3056 90.00 90.00 90.00
Space group Pm-3m (No. 221)
Unique sites:
1 Tm 0.0000 0.0000 0.0000
2 As 0.0000 0.0000 0.5000
3 As 0.5000 0.5000 0.5000

***

# 4
First-principles (PBE) data for an optimized crystal structure of Hf3TeBr, as listed in Alexandria via LeMat-Bulk.

- Magnetic moment: 0.175 μB per atom
- Distance to the lowest polymorph of the same formula: 0.00 eV/f.u.
- Total energy: -6.268 eV/atom
- Raw formation energy: 3.34 eV per formula unit

Lattice parameters (Å, degrees): 4.9609 4.9609 4.9609 90.00 90.00 90.00
Space group Pm-3m (No. 221)
Unique sites:
1 Hf 0.0000 0.0000 0.5000
2 Te 0.5000 0.5000 0.5000
3 Br 0.0000 0.0000 0.0000

***

# 5
First-principles (PBE) data for an optimized crystal structure of Sr2TbErSe4, as listed in Alexandria via LeMat-Bulk.

- Magnetic moment: 0.000 μB per atom
- Total energy: -5.185 eV/atom
- Raw formation energy: -14.99 eV per formula unit

Lattice parameters (Å, degrees): 7.2654 4.2004 7.4498 90.00 109.02 90.00
Space group P2/m (No. 10)
Unique sites:
1 Sr 0.0000 0.0000 0.0000
2 Sr 0.5000 0.5000 0.0000
3 Tb 0.0000 0.5000 0.5000
4 Er 0.5000 0.0000 0.5000
5 Se 0.2463 0.0000 0.7303
6 Se 0.2597 0.5000 0.2715

***

# 6
First-principles (PBE) data for an optimized crystal structure of Dy2Y2Cd, as listed in Alexandria via LeMat-Bulk.

- Magnetic moment: 0.057 μB per atom
- Energy of formation from the pure elements: 0.06 eV/atom
- Distance to the lowest polymorph of the same formula: 0.89 eV/f.u.
- Total energy: -4.552 eV/atom

Lattice parameters (Å, degrees): 5.0813 5.0813 25.0406 90.00 90.00 90.00
Space group I4_1/amd (No. 141, origin choice 2)
Unique sites:
1 Dy 0.0000 0.2500 0.0512
2 Y 0.0000 0.2500 0.2006
3 Cd 0.0000 0.2500 0.3750

***

# 7
First-principles (PBE) data for an optimized crystal structure of PmDy6Tm3Sc2, as listed in Alexandria via LeMat-Bulk.

- Magnetic moment: 0.000 μB per atom
- Energy of formation from the pure elements: 0.04 eV/atom
- Total energy: -4.833 eV/atom

Lattice parameters (Å, degrees): 6.0498 10.4695 11.5596 90.00 100.00 90.00
Space group C2/m (No. 12)
Unique sites:
1 Pm 0.0000 0.0000 0.0000
2 Dy 0.2467 0.5000 0.2475
3 Dy 0.2492 0.3321 0.7523
4 Tm 0.0000 0.1671 0.5000
5 Tm 0.0000 0.5000 0.5000
6 Sc 0.0000 0.3333 0.0000

***

# 8
First-principles (PBE) data for an optimized crystal structure of Nd5ErBi5, as listed in Alexandria via LeMat-Bulk.

- Magnetic moment: 0.000 μB per atom
- Energy of formation from the pure elements: -0.74 eV/atom
- Total energy: -5.083 eV/atom

Lattice parameters (Å, degrees): 14.3344 6.4326 9.0583 90.00 108.71 90.00
Space group C2/m (No. 12)
Unique sites:
1 Nd 0.0000 0.0000 0.0000
2 Nd 0.1629 0.5000 0.3277
3 Nd 0.1701 0.5000 0.8341
4 Er 0.0000 0.0000 0.5000
5 Bi 0.0000 0.5000 0.5000
6 Bi 0.1639 0.0000 0.8289
7 Bi 0.1658 0.0000 0.3376

***

# 9
First-principles (PBE) data for an optimized crystal structure of LiCuS, as listed in Alexandria via LeMat-Bulk.

- Magnetic moment: 0.000 μB per atom
- Total energy: -4.080 eV/atom
- Raw formation energy: -2.10 eV per formula unit

Lattice parameters (Å, degrees): 8.1893 3.9553 6.5081 90.00 90.00 90.00
Space group Pnma (No. 62)
Unique sites:
1 Li 0.0887 0.2500 0.1407
2 Cu 0.2164 0.2500 0.7600
3 S 0.2046 0.7500 0.9260

***

# 10
First-principles (PBE) data for an optimized crystal structure of LaTa2Al2, as listed in Alexandria via LeMat-Bulk.

- Magnetic moment: 0.000 μB per atom
- Energy of formation from the pure elements: 0.05 eV/atom
- Distance to the lowest polymorph of the same formula: 0.00 eV/f.u.
- Total energy: -7.179 eV/atom

Lattice parameters (Å, degrees): 8.0732 8.0732 3.0887 90.00 90.00 90.00
Space group P4/mbm (No. 127)
Unique sites:
1 La 0.0000 0.0000 0.0000
2 Ta 0.1697 0.3303 0.5000
3 Al 0.1198 0.6198 0.0000

***

# 11
First-principles (PBE) data for an optimized crystal structure of NbTlZn2, as listed in Alexandria via LeMat-Bulk.

- Magnetic moment: 0.000 μB per atom
- Energy of formation from the pure elements: 0.45 eV/atom
- Distance to the lowest polymorph of the same formula: 0.00 eV/f.u.
- Total energy: -3.294 eV/atom

Lattice parameters (Å, degrees): 7.4005 7.4005 5.7588 90.00 90.00 90.00
Space group I-42d (No. 122)
Unique sites:
1 Nb 0.0000 0.0000 0.0000
2 Tl 0.0000 0.0000 0.5000
3 Zn 0.2464 0.7500 0.1250

***

# 12
First-principles (PBE) data for an optimized crystal structure of Sr2FeOs, as listed in Alexandria via LeMat-Bulk.

- Magnetic moment: 0.820 μB per atom
- Energy of formation from the pure elements: 1.03 eV/atom
- Distance to the lowest polymorph of the same formula: 3.22 eV/f.u.
- Total energy: -4.738 eV/atom

Lattice parameters (Å, degrees): 5.5930 5.5930 3.1127 90.00 90.00 90.00
Space group P4/mmm (No. 123)
Unique sites:
1 Sr 0.0000 0.5000 0.0000
2 Fe 0.0000 0.0000 0.5000
3 Os 0.5000 0.5000 0.5000

***

# 13
First-principles (PBE) data for an optimized crystal structure of TaNi2Mo, as listed in Alexandria via LeMat-Bulk.

- Magnetic moment: 0.000 μB per atom
- Energy of formation from the pure elements: 0.34 eV/atom
- Distance to the lowest polymorph of the same formula: 1.90 eV/f.u.
- Total energy: -8.219 eV/atom

Lattice parameters (Å, degrees): 6.7687 6.7687 5.1629 90.00 90.00 90.00
Space group I-42d (No. 122)
Unique sites:
1 Ta 0.0000 0.0000 0.0000
2 Ni 0.2470 0.2500 0.6250
3 Mo 0.0000 0.0000 0.5000

***

# 14
First-principles (PBE) data for an optimized crystal structure of Cs2BeF, as listed in Alexandria via LeMat-Bulk.

- Magnetic moment: 0.102 μB per atom
- Distance to the lowest polymorph of the same formula: 0.93 eV/f.u.
- Total energy: -2.188 eV/atom
- Raw formation energy: -1.45 eV per formula unit

Lattice parameters (Å, degrees): 8.2462 8.2462 8.2462 90.00 90.00 90.00
Space group Fm-3m (No. 225)
Unique sites:
1 Cs 0.2500 0.2500 0.2500
2 Be 0.0000 0.0000 0.0000
3 F 0.0000 0.0000 0.5000

***

# 15
First-principles (PBE) data for an optimized crystal structure of Pr2ZnCo, as listed in Alexandria via LeMat-Bulk.

- Magnetic moment: 0.000 μB per atom
- Energy of formation from the pure elements: -0.15 eV/atom
- Distance to the lowest polymorph of the same formula: 0.00 eV/f.u.
- Total energy: -4.631 eV/atom

Lattice parameters (Å, degrees): 5.9767 4.4270 7.7968 90.00 109.78 90.00
Space group P2_1/m (No. 11)
Unique sites:
1 Pr 0.2181 0.2500 0.4430
2 Pr 0.2346 0.2500 0.9207
3 Zn 0.3468 0.7500 0.2167
4 Co 0.4172 0.7500 0.7263

***

# 16
First-principles (PBE) data for an optimized crystal structure of HgSb2Pd2, as listed in Alexandria via LeMat-Bulk.

- Magnetic moment: 0.000 μB per atom
- Distance to the lowest polymorph of the same formula: 0.16 eV/f.u.
- Total energy: -3.930 eV/atom
- Raw formation energy: -0.72 eV per formula unit

Lattice parameters (Å, degrees): 4.0285 4.0285 14.6928 90.00 90.00 90.00
Space group I4/mmm (No. 139)
Unique sites:
1 Hg 0.0000 0.0000 0.0000
2 Sb 0.0000 0.0000 0.3726
3 Pd 0.0000 0.5000 0.2500

***

# 17
First-principles (PBE) data for an optimized crystal structure of IrSe2Cl, as listed in Alexandria via LeMat-Bulk.

- Magnetic moment: 0.000 μB per atom
- Distance to the lowest polymorph of the same formula: 2.41 eV/f.u.
- Total energy: -4.073 eV/atom
- Raw formation energy: 1.38 eV per formula unit

Lattice parameters (Å, degrees): 3.0241 3.0241 10.2044 90.00 90.00 90.00
Space group P4mm (No. 99)
Unique sites:
1 Ir 0.0000 0.0000 0.0000
2 Se 0.0000 0.0000 0.4231
3 Se 0.5000 0.5000 0.1331
4 Cl 0.5000 0.5000 0.8234

***

# 18
First-principles (PBE) data for an optimized crystal structure of Al2PtBr, as listed in Alexandria via LeMat-Bulk.

- Magnetic moment: 0.000 μB per atom
- Distance to the lowest polymorph of the same formula: 0.44 eV/f.u.
- Total energy: -4.312 eV/atom
- Raw formation energy: -2.05 eV per formula unit

Lattice parameters (Å, degrees): 3.1961 3.2206 7.3105 90.00 90.00 90.00
Space group Pmmm (No. 47)
Unique sites:
1 Al 0.0000 0.0000 0.1937
2 Pt 0.5000 0.5000 0.0000
3 Br 0.5000 0.0000 0.5000

***

# 19
First-principles (PBE) data for an optimized crystal structure of ZnIrRu2, as listed in Alexandria via LeMat-Bulk.

- Magnetic moment: 0.000 μB per atom
- Energy of formation from the pure elements: 0.08 eV/atom
- Total energy: -7.095 eV/atom

Lattice parameters (Å, degrees): 3.7675 3.7675 7.9307 90.00 90.00 90.00
Space group I4/mmm (No. 139)
Unique sites:
1 Zn 0.0000 0.0000 0.0000
2 Ir 0.0000 0.0000 0.5000
3 Ru 0.0000 0.5000 0.2500

***

# 20
First-principles (PBE) data for an optimized crystal structure of Tb2PmSmDy5, as listed in Alexandria via LeMat-Bulk.

- Magnetic moment: 0.000 μB per atom
- Energy of formation from the pure elements: 0.28 eV/atom
- Total energy: -4.358 eV/atom

Lattice parameters (Å, degrees): 8.8060 8.8060 15.1127 90.00 90.00 90.00
Space group I4/mcm (No. 140)
Unique sites:
1 Tb 0.1154 0.3846 0.0000
2 Pm 0.0000 0.0000 0.2500
3 Sm 0.0000 0.5000 0.2500
4 Dy 0.0000 0.0000 0.0000
5 Dy 0.2052 0.2948 0.3657

***

The records above give, respectively, ρ values of 6.31, 7.57, 5.21, 10.10, 6.31, 6.32, 7.91, 8.12, 3.23, 9.15, 9.02, 7.19, 11.07, 3.48, 6.95, 9.15, 6.86, 7.26, 13.56, 8.08 Mg/m³.